Entry 1:
Compound: Rb5Pb6Cl16
Source: Alexandria via LeMat-Bulk
Functional: GGA-PBEsol
Structure: optimized geometry

Results
density of states at the Fermi level = 8.4 states/eV/cell
space-group type = P4/mbm (127)
mass density = 4.97 Mg/m³
uncorrected formation energy = -1.38 eV per atom

a b c (Å): 10.6894 11.8259 11.8259
angles (deg): 90.00 90.00 90.00
With the nearest neighbours (Å) after each atom.
Sites, in units of the cell vectors:
1 Cl 0.5000 0.4100 0.7121  4 Pb 3.01-3.17, 2 Rb 3.22-3.34, 1 Cl 3.31
2 Cl 0.5000 0.5900 0.2879  4 Pb 3.01-3.17, 2 Rb 3.22-3.34, 1 Cl 3.31
3 Pb 0.6513 0.5000 0.5000  8 Cl 2.92-3.17, 1 Pb 3.23
4 Cl 0.2199 0.5831 0.7016  2 Pb 2.91-2.92, 1 Rb 3.20
5 Cl 0.7801 0.7016 0.4169  2 Pb 2.91-2.92, 1 Rb 3.20
6 Cl 0.0000 0.6581 0.1581  2 Pb 2.86
7 Rb 0.0000 0.8812 0.3812  8 Cl 3.20-3.57
8 Pb 0.7340 0.6760 0.1760  6 Cl 2.86-3.01
9 Cl 0.2199 0.0831 0.7984  2 Pb 2.91-2.92, 1 Rb 3.20
10 Pb 0.7340 0.8240 0.6760  6 Cl 2.86-3.01
11 Cl 0.2199 0.4169 0.2984  2 Pb 2.91-2.92, 1 Rb 3.20
12 Pb 0.2660 0.1760 0.3240  6 Cl 2.86-3.01
13 Cl 0.7224 0.5000 0.0000  2 Pb 2.95
14 Cl 0.7224 0.0000 0.5000  2 Pb 2.95
15 Rb 0.5000 0.6373 0.8627  10 Cl 3.22-3.61
16 Pb 0.3487 0.0000 0.0000  8 Cl 2.92-3.17, 1 Pb 3.23
17 Cl 0.2199 0.7016 0.4169  2 Pb 2.91-2.92, 1 Rb 3.20
18 Pb 0.3487 0.5000 0.5000  8 Cl 2.92-3.17, 1 Pb 3.23
19 Pb 0.2660 0.3240 0.8240  6 Cl 2.86-3.01
20 Cl 0.5000 0.0900 0.2121  4 Pb 3.01-3.17, 2 Rb 3.22-3.34, 1 Cl 3.31
21 Cl 0.2776 0.5000 0.0000  2 Pb 2.95
22 Rb 0.5000 0.3627 0.1373  10 Cl 3.22-3.61
23 Pb 0.2660 0.6760 0.1760  6 Cl 2.86-3.01
24 Rb 0.0000 0.6188 0.8812  8 Cl 3.20-3.57
25 Cl 0.2776 0.0000 0.5000  2 Pb 2.95
26 Cl 0.2199 0.9169 0.2016  2 Pb 2.91-2.92, 1 Rb 3.20
27 Cl 0.2199 0.7984 0.9169  2 Pb 2.91-2.92, 1 Rb 3.20
28 Cl 0.5000 0.2121 0.9100  4 Pb 3.01-3.17, 2 Rb 3.22-3.34, 1 Cl 3.31
29 Rb 0.0000 0.5000 0.5000  8 Cl 3.49, 2 Pb 3.73
30 Cl 0.7801 0.4169 0.2984  2 Pb 2.91-2.92, 1 Rb 3.20
31 Cl 0.7801 0.2016 0.0831  2 Pb 2.91-2.92, 1 Rb 3.20
32 Rb 0.5000 0.8627 0.3627  10 Cl 3.22-3.61
33 Cl 0.7801 0.2984 0.5831  2 Pb 2.91-2.92, 1 Rb 3.20
34 Cl 0.0000 0.8419 0.6581  2 Pb 2.86
35 Rb 0.0000 0.0000 0.0000  8 Cl 3.49, 2 Pb 3.73
36 Pb 0.7340 0.1760 0.3240  6 Cl 2.86-3.01
37 Pb 0.2660 0.8240 0.6760  6 Cl 2.86-3.01
38 Cl 0.0000 0.3419 0.8419  2 Pb 2.86
39 Cl 0.0000 0.1581 0.3419  2 Pb 2.86
40 Cl 0.5000 0.9100 0.7879  4 Pb 3.01-3.17, 2 Rb 3.22-3.34, 1 Cl 3.31
41 Cl 0.2199 0.2984 0.5831  2 Pb 2.91-2.92, 1 Rb 3.20
42 Cl 0.5000 0.7121 0.5900  4 Pb 3.01-3.17, 2 Rb 3.22-3.34, 1 Cl 3.31
43 Pb 0.6513 0.0000 0.0000  8 Cl 2.92-3.17, 1 Pb 3.23
44 Cl 0.7801 0.9169 0.2016  2 Pb 2.91-2.92, 1 Rb 3.20
45 Rb 0.5000 0.1373 0.6373  10 Cl 3.22-3.61
46 Rb 0.0000 0.3812 0.1188  8 Cl 3.20-3.57
47 Cl 0.7801 0.7984 0.9169  2 Pb 2.91-2.92, 1 Rb 3.20
48 Cl 0.7801 0.0831 0.7984  2 Pb 2.91-2.92, 1 Rb 3.20
49 Pb 0.7340 0.3240 0.8240  6 Cl 2.86-3.01
50 Cl 0.7801 0.5831 0.7016  2 Pb 2.91-2.92, 1 Rb 3.20
51 Rb 0.0000 0.1188 0.6188  8 Cl 3.20-3.57
52 Cl 0.5000 0.7879 0.0900  4 Pb 3.01-3.17, 2 Rb 3.22-3.34, 1 Cl 3.31
53 Cl 0.5000 0.2879 0.4100  4 Pb 3.01-3.17, 2 Rb 3.22-3.34, 1 Cl 3.31
54 Cl 0.2199 0.2016 0.0831  2 Pb 2.91-2.92, 1 Rb 3.20

Entry 2:
Compound: RbPbCl3
Source: Alexandria via LeMat-Bulk
Functional: GGA-PBEsol
Structure: optimized geometry

Results
density of states at the Fermi level = 0.0 states/eV/cell
space-group type = Cmcm (63)
mass density = 4.28 Mg/m³
uncorrected formation energy = -1.47 eV per atom

a b c (Å): 4.2212 7.2294 10.5966
angles (deg): 90.00 90.00 106.97
With the nearest neighbours (Å) after each atom.
Sites, in units of the cell vectors:
1 Cl 0.9281 0.8561 0.7500  2 Pb 2.83
2 Cl 0.6375 0.2749 0.9469  2 Pb 2.90
3 Cl 0.3625 0.7251 0.0531  2 Pb 2.90
4 Cl 0.3625 0.7251 0.4469  2 Pb 2.90
5 Pb 0.0000 0.0000 0.0000  6 Cl 2.83-2.90
6 Cl 0.0719 0.1439 0.2500  2 Pb 2.83
7 Cl 0.6375 0.2749 0.5531  2 Pb 2.90
8 Pb 0.0000 0.0000 0.5000  6 Cl 2.83-2.90
9 Rb 0.2520 0.5041 0.7500  8 Cl 3.22-3.56
10 Rb 0.7480 0.4959 0.2500  8 Cl 3.22-3.56

Entry 3:
Compound: RhPbCl2
Source: Alexandria via LeMat-Bulk
Functional: GGA-PBEsol
Structure: optimized geometry

Results
density of states at the Fermi level = 3.9 states/eV/cell
polymorph energy (0 for the lowest one) = 30.3 kJ/mol of atoms
space-group type = I-4m2 (119)
mass density = 7.92 Mg/m³
uncorrected formation energy = 0.07 eV per atom

a b c (Å): 3.9895 3.9895 5.7573
angles (deg): 110.27 110.27 90.00
With the nearest neighbours (Å) after each atom.
Sites, in units of the cell vectors:
1 Pb 0.5000 0.5000 0.0000  4 Cl 2.82
2 Cl 0.0000 0.0000 0.0000  4 Pb 2.82
3 Cl 0.7500 0.2500 0.5000  4 Rh 2.82
4 Rh 0.2500 0.7500 0.5000  4 Cl 2.82

Entry 4:
Compound: RhPbCl2
Source: Alexandria via LeMat-Bulk
Functional: GGA-PBEsol
Structure: optimized geometry

Results
density of states at the Fermi level = 3.5 states/eV/cell
polymorph energy (0 for the lowest one) = 0.0 kJ/mol of atoms
space-group type = R3m (160)
mass density = 6.91 Mg/m³
uncorrected formation energy = -0.24 eV per atom

a b c (Å): 3.9474 3.9474 7.1547
angles (deg): 73.99 73.99 60.00
With the nearest neighbours (Å) after each atom.
Sites, in units of the cell vectors:
1 Cl 0.9576 0.9576 0.1272  3 Rh 2.30
2 Pb 0.5113 0.5113 0.4661  6 Cl 2.90-3.24, 3 Rh 3.01
3 Rh 0.2749 0.2749 0.1752  3 Cl 2.30
4 Cl 0.7562 0.7562 0.7315  3 Pb 2.90

> The lowest density of states at the Fermi level belongs to which entry?

RbPbCl3